6
Lattice="-2.3196 2.3196 8.9445 2.3196 -2.3196 8.9445 2.3196 2.3196 -8.9445" Properties=species:S:1:pos:R:3 comment="BaCdAu, relaxed, DFT PBE" formation_energy_mev_per_atom=-552 spacegroup="I4_1md, No. 109" dft_energy_ev_per_cell=-15.5 pbc="T T T"
Ba 0.0000 0.0000 0.0000
Ba 0.0000 2.3196 4.4722
Cd 2.3196 0.0000 6.0393
Cd 0.0000 0.0000 10.5115
Au 2.3196 0.0000 3.1592
Au 0.0000 0.0000 7.6315


20
Lattice="6.8095 -4.6672 0.0000 6.8095 4.6672 0.0000 -4.2161 0.0000 8.7217" Properties=species:S:1:pos:R:3 comment="NaLiAg2Cl6, relaxed, DFT PBE" spacegroup="C2/c, No. 15" dft_energy_ev_per_cell=-58.0 formation_energy_uncorrected_ev_per_atom=-0.90 pbc="T T T"
Na 3.6474 2.3368 6.5413
Na 5.7555 -2.3368 2.1804
Li 5.7555 3.0341 2.1804
Li 3.6474 -3.0341 6.5413
Ag 0.5755 0.3853 7.9315
Ag 2.6836 -0.3853 3.5706
Ag 6.7193 0.3853 5.1511
Ag 8.8274 -0.3853 0.7903
Cl 0.6200 0.0948 2.4314
Cl -1.4881 -0.0948 6.7923
Cl 1.7206 0.4201 5.7128
Cl 6.4967 1.7824 0.2437
Cl 5.0142 1.7824 4.1172
Cl 3.8287 -0.4201 1.3519
Cl 5.5742 0.4201 7.3698
Cl 4.3887 -1.7824 4.6045
Cl 2.9061 -1.7824 8.4781
Cl 7.6823 -0.4201 3.0090
Cl 10.8909 0.0948 1.9295
Cl 8.7829 -0.0948 6.2903


12
Lattice="9.9778 -2.4800 0.0000 9.9778 2.4800 0.0000 -6.8108 0.0000 11.7911" Properties=species:S:1:pos:R:3 comment="CsK3Au2, relaxed, DFT PBE" formation_energy_mev_per_atom=-223 de_polymorph_mev_per_atom=0 spacegroup="C2/m, No. 12" dft_energy_ev_per_cell=-24.1 pbc="T T T"
Cs 1.3573 0.0000 2.8496
Cs 11.7876 0.0000 8.9416
K -1.7447 0.0000 8.9580
K 4.3661 0.0000 6.3146
K 7.6327 0.0000 0.7695
K 5.5121 0.0000 11.0217
K 8.7787 0.0000 5.4765
K 14.8895 0.0000 2.8331
Au 4.3351 0.0000 0.5086
Au 0.9360 0.0000 6.4575
Au 12.2088 0.0000 5.3336
Au 8.8097 0.0000 11.2826


8
Lattice="-4.4164 4.4164 4.3207 4.4164 -4.4164 4.3207 4.4164 4.4164 -4.3207" Properties=species:S:1:pos:R:3 comment="Sr2MgBr, relaxed, DFT PBE" de_polymorph_mev_per_atom=181 spacegroup="I-42d, No. 122" dft_energy_ev_per_cell=-17.6 formation_energy_uncorrected_ev_per_atom=-0.54 pbc="T T T"
Sr 6.6245 1.9300 -1.0802
Sr 1.9300 2.2082 1.0802
Sr -2.2082 2.4863 3.2406
Sr 2.4863 2.2082 5.4009
Mg 4.4164 0.0000 2.1604
Mg 0.0000 0.0000 4.3207
Br 0.0000 0.0000 0.0000
Br 0.0000 4.4164 2.1604


Repeat the first record exactly.
6
Lattice="-2.3196 2.3196 8.9445 2.3196 -2.3196 8.9445 2.3196 2.3196 -8.9445" Properties=species:S:1:pos:R:3 comment="BaCdAu, relaxed, DFT PBE" formation_energy_mev_per_atom=-552 spacegroup="I4_1md, No. 109" dft_energy_ev_per_cell=-15.5 pbc="T T T"
Ba 0.0000 0.0000 0.0000
Ba 0.0000 2.3196 4.4722
Cd 2.3196 0.0000 6.0393
Cd 0.0000 0.0000 10.5115
Au 2.3196 0.0000 3.1592
Au 0.0000 0.0000 7.6315